Record 1
Material: Li2CeSmAu4
Method: DFT, PBE
State: relaxed

Properties
As for the spin magnetization: 0.81 μB/cell. The value obtained for the formation energy is -60.8 kJ/mol of atoms. As for the space-group type: No. 166. The crystal system is trigonal.

Lattice parameters (Å, degrees): 5.059 5.059 8.329 72.32 72.32 60.00
Fractional positions:
1 Au 0.369 0.369 0.893
2 Sm 0.500 0.500 0.500
3 Au 0.131 0.131 0.607
4 Au 0.631 0.631 0.107
5 Li 0.249 0.249 0.252
6 Ce 0.000 0.000 0.000
7 Li 0.751 0.751 0.748
8 Au 0.869 0.869 0.393

***

Record 2
Material: Sm4Dy3Y4
Method: DFT, PBE
State: relaxed

Properties
As for the spin magnetization: 0.00 μB/cell. The value obtained for the energy above the most stable polymorph in this dataset is 0 meV/atom. The value obtained for the formation energy is 5.1 kJ/mol of atoms. As for the space-group type: No. 2. The crystal system is triclinic.

Lattice parameters (Å, degrees): 3.531 5.646 18.251 81.12 84.44 90.00
Fractional positions:
1 Y 0.591 0.091 0.819
2 Y 0.267 0.267 0.466
3 Sm 0.680 0.180 0.640
4 Y 0.409 0.909 0.181
5 Sm 0.320 0.820 0.360
6 Dy 0.863 0.363 0.274
7 Sm 0.546 0.547 0.908
8 Dy 0.000 0.000 0.000
9 Dy 0.137 0.637 0.726
10 Sm 0.454 0.453 0.092
11 Y 0.733 0.733 0.534

***

Record 3
Material: Li2MnCl2
Method: DFT, PBE
State: relaxed

Properties
As for the raw formation energy: -603 meV/atom. As for the spin magnetization: 5.00 μB/cell. The value obtained for the energy above the most stable polymorph in this dataset is 0 meV/atom. As for the space-group type: No. 139. The crystal system is tetragonal.

Lattice parameters (Å, degrees): 4.734 4.734 6.836 69.74 69.74 90.00
Fractional positions:
1 Cl 0.750 0.250 0.500
2 Li 0.703 0.703 0.595
3 Li 0.297 0.297 0.405
4 Mn 0.000 0.000 0.000
5 Cl 0.250 0.750 0.500

***

Record 4
Material: Th2OsPd
Method: DFT, PBE
State: relaxed

Properties
As for the spin magnetization: 0.00 μB/cell. The value obtained for the formation energy is -59.8 kJ/mol of atoms. As for the space-group type: No. 11. The crystal system is monoclinic.

Lattice parameters (Å, degrees): 4.286 6.083 7.854 110.15 90.00 90.00
Fractional positions:
1 Pd 0.750 0.688 0.795
2 Os 0.250 0.306 0.708
3 Th 0.750 0.223 0.443
4 Th 0.750 0.232 0.925
5 Pd 0.250 0.312 0.205
6 Os 0.750 0.694 0.292
7 Th 0.250 0.768 0.075
8 Th 0.250 0.777 0.557

***

Record 5
Material: Ce2TmAs3Ir4
Method: DFT, PBE
State: relaxed

Properties
As for the spin magnetization: 0.87 μB/cell. The value obtained for the formation energy is -77.8 kJ/mol of atoms. As for the space-group type: No. 115. The crystal system is tetragonal.

Lattice parameters (Å, degrees): 4.107 4.107 11.480 90.00 90.00 90.00
Fractional positions:
1 Ir 0.000 0.500 0.339
2 Ir 0.500 0.000 0.661
3 As 0.500 0.000 0.873
4 Ir 0.500 0.500 0.000
5 Tm 0.500 0.500 0.500
6 Ce 0.000 0.500 0.771
7 As 0.000 0.500 0.127
8 As 0.000 0.000 0.500
9 Ce 0.500 0.000 0.229
10 Ir 0.000 0.000 0.000

***

Record 6
Material: Pm3Y3PuTe8
Method: DFT, PBE
State: relaxed

Properties
As for the raw formation energy: -1369 meV/atom. As for the spin magnetization: 6.24 μB/cell. As for the space-group type: No. 166. The crystal system is trigonal.

Lattice parameters (Å, degrees): 8.799 8.799 8.819 119.93 90.00 120.00
Fractional positions:
1 Y 0.500 0.000 0.500
2 Y 0.500 0.500 0.500
3 Pm 0.500 0.500 0.000
4 Pm 0.000 0.000 0.000
5 Pu 0.000 0.000 0.500
6 Te 0.253 0.505 0.258
7 Pm 0.000 0.500 0.000
8 Te 0.744 0.488 0.249
9 Te 0.738 0.995 0.751
10 Y 0.000 0.500 0.500
11 Te 0.747 0.495 0.742
12 Te 0.744 0.005 0.249
13 Te 0.262 0.005 0.249
14 Te 0.256 0.512 0.751
15 Te 0.256 0.995 0.751

***

Record 7
Material: TiVAsSe2
Method: DFT, PBE
State: relaxed

Properties
As for the raw formation energy: 161 meV/atom. As for the spin magnetization: 2.64 μB/cell. The value obtained for the energy above the most stable polymorph in this dataset is 0 meV/atom. As for the space-group type: No. 123. The crystal system is tetragonal.

Lattice parameters (Å, degrees): 4.812 4.812 4.743 90.00 90.00 90.00
Fractional positions:
1 Se 0.000 0.500 0.000
2 Ti 0.500 0.500 0.500
3 V 0.000 0.000 0.000
4 As 0.000 0.000 0.500
5 Se 0.500 0.000 0.000

***

Record 8
Material: HfMnNbFe
Method: DFT, PBE
State: relaxed

Properties
As for the spin magnetization: 0.00 μB/cell. The value obtained for the energy above the most stable polymorph in this dataset is 9 meV/atom. The value obtained for the formation energy is -17.0 kJ/mol of atoms. As for the space-group type: No. 216. The crystal system is cubic.

Lattice parameters (Å, degrees): 4.384 4.384 4.384 60.00 60.00 60.00
Fractional positions:
1 Nb 0.000 0.000 0.000
2 Fe 0.750 0.750 0.750
3 Mn 0.250 0.250 0.250
4 Hf 0.500 0.500 0.500

***

Question: Look up the spin magnetization of the fifth one.
Answer: 0.87 μB/cell